Entry from Alexandria: an optimized crystal structure of Pr5Th3Bi12 (PBE).

The space group is Ia-3d (No. 230) and the conventional cell measures 18.816, 18.816 and 18.816 Å, with angles of 90.00, 90.00 and 90.00 degrees. Symmetry generates all atoms from Pr at (0.000, 0.000, 0.000), Pr at (0.000, 0.250, 0.375), Th at (0.000, 0.250, 0.125) and Bi at (0.016, 0.083, 0.656).

Its total magnetic moment is 0.00 Bohr magnetons per cell. The calculation puts the total energy at -775.9 eV per cell. As for the formation energy: -0.21 eV/atom.